# VPCl2 PBE optimized geometry
data_VPCl2
_chemical_formula_sum 'V3 P3 Cl6'
_cell_length_a 3.1148
_cell_length_b 3.1148
_cell_length_c 26.9589
_cell_angle_alpha 90.00
_cell_angle_beta 90.00
_cell_angle_gamma 120.00
_space_group_name_H-M_alt 'R -3 m'
_space_group_IT_number 166
_space_group_name_Hall '-R 3 2"'
loop_
_atom_site_label
_atom_site_type_symbol
_atom_site_fract_x
_atom_site_fract_y
_atom_site_fract_z
V1 V 0.0000 0.0000 0.0000
P1 P 0.0000 0.0000 0.5000
Cl1 Cl 0.0000 0.0000 0.0814
# Electronic total energy, eV/atom: -4.154
# ρ, Mg/m³: 3.4
# Uncorrected formation energy, eV/atom: 0.401
# Energy above the lowest structure with this stoichiometry, kJ/mol of atoms: 52.59